! Cd2NiRu (PBE, relaxed); values from VASP
&SYSTEM
  ibrav = 0, nat = 8, ntyp = 3
/
ATOMIC_SPECIES
Cd 112.41 Cd.upf
Ni 58.69 Ni.upf
Ru 101.07 Ru.upf
ATOMIC_POSITIONS crystal
Cd 0.103 0.625 0.978
Cd 0.375 0.353 0.478
Cd 0.647 0.125 0.022
Cd 0.875 0.897 0.522
Ni 0.000 0.000 0.000
Ni 0.750 0.250 0.500
Ru 0.250 0.750 0.500
Ru 0.500 0.500 0.000
CELL_PARAMETERS angstrom
-3.653 3.653 2.680
3.653 -3.653 2.680
3.653 3.653 -2.680
! Uncorrected energy in eV/atom: -3.5758
! ΔH_f (0 K) in eV per atom: 0.65
! Magnetic moment in Bohr magnetons per cell: 3.68